The following is a DFT calculation (GGA-PBE) of SrLiCl3 after structural relaxation.

As for the excess energy over the best structure of this formula in the dataset: 0 meV per atom. As for the raw formation energy: -2.19 eV/atom. For the density of states at the Fermi level, the calculation gives 0.000 states/eV/atom. The calculated total energy is -80.4 eV/cell.

a = 8.853 Å, b = 8.853 Å, c = 7.331 Å
α = 101.82°, β = 101.82°, γ = 79.41°
Sites, in units of the cell vectors:
Sr1 0.095 0.905 0.750
Sr2 0.345 0.655 0.250
Sr3 0.655 0.345 0.750
Sr4 0.905 0.095 0.250
Li1 0.203 0.386 0.742
Li2 0.386 0.203 0.242
Li3 0.614 0.797 0.758
Li4 0.797 0.614 0.258
Cl1 0.005 0.220 0.645
Cl2 0.109 0.631 0.900
Cl3 0.220 0.005 0.145
Cl4 0.324 0.420 0.491
Cl5 0.369 0.891 0.600
Cl6 0.420 0.324 0.991
Cl7 0.580 0.676 0.009
Cl8 0.631 0.109 0.400
Cl9 0.676 0.580 0.509
Cl10 0.780 0.995 0.855
Cl11 0.891 0.369 0.100
Cl12 0.995 0.780 0.355